The following is a DFT calculation (GGA-PBEsol) of a relaxed SiSb2W crystal. Values from VASP.

Results
ΔE_f (raw)   0.2542 eV/atom
N(E_F)   1.29 states/eV/f.u.
E   -6.913 eV per atom
Symmetry   Cm (8)

Structure (Quantum ESPRESSO input):
```
&SYSTEM
  ibrav = 0, nat = 4, ntyp = 3
/
ATOMIC_SPECIES
Si 28.09 Si.upf
Sb 121.76 Sb.upf
W 183.84 W.upf
CELL_PARAMETERS angstrom
4.212 -1.699 0.000
4.212 1.699 0.000
-1.012 0.000 6.072
ATOMIC_POSITIONS angstrom
Si 0.000 0.000 0.000
Sb 1.130 0.000 4.329
Sb 3.385 0.000 2.067
W 5.987 0.000 0.390
```